Computed, not measured: an optimized crystal structure of ThPaGa2 at the PBE level of DFT.

a = 4.675 Å, b = 4.675 Å, c = 4.245 Å
α = 90.00°, β = 90.00°, γ = 90.00°
Space group P4/mmm (No. 123)
One atom of each set of equivalent atoms:
Th: 0.000 0.000 0.000 [1 per cell]
Pa: 0.500 0.500 0.000 [1 per cell]
Ga: 0.000 0.500 0.500 [2 per cell]

## Properties
* DFT formation energy: -299 meV per atom
* electronic total energy: -24.17 eV for the cell shown
* volume: 93 Å³ per cell
* energy above the lowest structure with this stoichiometry: 0.0188 eV per atom